This record from Alexandria via LeMat-Bulk describes a relaxed structure of ZnCdPb2O6. The functional is GGA-PBE.

The structure in extended XYZ format:
```
10
Lattice="-5.2913 1.8326 -0.7412 -4.3579 -3.3246 1.3637 -3.2107 1.3743 4.7903" Properties=species:S:1:pos:R:3 pbc="T T T"
Zn -3.2161 -0.3677 0.5247
Cd -9.6457 -0.3694 3.3716
Pb -6.4304 -0.1999 2.3612
Pb -3.2111 1.2606 4.5120
O -4.9606 0.6984 1.0041
O -6.0022 -2.3475 2.2491
O -8.3315 0.0121 1.2890
O -7.6195 -0.5851 4.2821
O -6.7707 1.8732 3.2775
O -4.8951 -0.0375 4.0550
```

Summary:
**Magnetic moment**: 0.00 μB per cell
**Formation energy without anion corrections**: -989 meV per atom

This record from Alexandria via LeMat-Bulk describes a relaxed structure of ZnCd2PbO. The functional is GGA-PBE.

The structure in extended XYZ format:
```
5
Lattice="-0.6788 -5.5592 0.2094 2.5954 -0.4097 -2.4636 3.8262 -0.3134 4.0831" Properties=species:S:1:pos:R:3 pbc="T T T"
Pb 2.8714 -3.1412 0.9145
Zn 1.2977 -0.2049 -1.2318
O 0.0000 0.0000 0.0000
Cd 1.9131 -0.1567 2.0415
Cd -0.3394 -2.7796 0.1047
```

Summary:
**Magnetic moment**: 0.00 μB per cell
**Formation energy without anion corrections**: -220 meV per atom

This record from Alexandria via LeMat-Bulk describes a relaxed structure of ZnCdPbO3. The functional is GGA-PBE.

The structure in extended XYZ format:
```
12
Lattice="3.5704 0.0000 0.0000 0.0000 7.2658 -0.0966 0.0000 -2.0363 8.0065" Properties=species:S:1:pos:R:3 pbc="T T T"
Zn 0.8926 -0.7997 5.0285
Zn 2.6778 6.0293 2.8814
Cd 0.8926 4.4119 1.1549
Cd 2.6778 0.8176 6.7550
Pb 0.8926 1.1166 1.2984
Pb 2.6778 4.1130 6.6115
O 2.6778 6.2333 0.8915
O 0.8926 -1.0038 7.0184
O 0.8926 5.2278 3.2928
O 2.6778 0.0018 4.6171
O 2.6778 2.7880 1.0220
O 0.8926 2.4416 6.8879
```

Summary:
**Magnetic moment**: 0.00 μB per cell
**Formation energy without anion corrections**: -1041 meV per atom

This record from Alexandria via LeMat-Bulk describes a relaxed structure of Zn2Cd2PbO6. The functional is GGA-PBE.

The structure in extended XYZ format:
```
11
Lattice="5.5875 0.0001 0.0000 -2.7938 4.8389 0.0000 0.0000 0.0000 5.3398" Properties=species:S:1:pos:R:3 pbc="T T T"
Zn 0.0000 3.2260 2.6663
Zn 2.7938 1.6130 2.6735
Cd 0.0000 3.2260 5.3362
Cd 2.7938 1.6130 0.0036
Pb 0.0000 0.0000 0.0000
O 0.9439 1.6316 3.9559
O 3.7348 3.2058 3.9559
O 3.7026 0.0017 3.9559
O 1.8498 3.2074 1.3840
O -0.9411 1.6332 1.3840
O -0.9089 4.8373 1.3840
```

Summary:
**Magnetic moment**: 0.00 μB per cell
**Formation energy without anion corrections**: -843 meV per atom